1.
PBE-GGA TcSbSe2Br, optimized geometry; energy above the lowest structure with this stoichiometry = 0 meV/atom; E = -4.28 eV per atom; density = 6.3 g/cm3
1.0
-4.370 2.169 0.165
-2.174 -4.364 -0.220
0.052 -0.282 5.082
Sb Se Tc Br
1 2 1 1
Cartesian
-3.246 -1.239 2.513 Sb
-1.087 -2.182 -0.110 Se
-2.185 1.084 0.082 Se
0.000 0.000 0.000 Tc
0.026 -0.141 2.541 Br



2.
PBE-GGA SbTe2SeBr, optimized geometry; energy above the lowest structure with this stoichiometry = 0 meV/atom; E = -2.59 eV per atom; density = 5.3 g/cm3
1.0
5.463 0.000 0.000
0.000 5.463 0.000
0.000 0.000 5.613
Sb Te Se Br
1 2 1 1
Cartesian
0.000 0.000 2.807 Sb
0.000 2.731 0.000 Te
2.731 0.000 0.000 Te
0.000 0.000 0.000 Se
2.731 2.731 2.807 Br



3.
PBE-GGA SbTeSeBr2, optimized geometry; energy above the lowest structure with this stoichiometry = 0 meV/atom; E = -2.60 eV per atom; density = 4.7 g/cm3
1.0
-3.696 -4.177 -0.978
4.262 -3.723 -0.204
-0.471 -0.830 5.322
Sb Te Se Br
1 1 1 2
Cartesian
0.000 0.000 0.000 Sb
0.048 -4.365 2.070 Te
-0.235 -0.415 2.661 Se
2.131 -1.861 -0.102 Br
-1.848 -2.089 -0.489 Br



4.
PBE-GGA TiSbSe2Br, optimized geometry; energy above the lowest structure with this stoichiometry = 0 meV/atom; E = -4.38 eV per atom; density = 5.4 g/cm3
1.0
5.038 0.000 0.000
0.000 5.038 0.000
0.000 0.000 4.965
Sb Se Br Ti
1 2 1 1
Cartesian
2.519 2.519 2.483 Sb
0.000 2.519 0.000 Se
2.519 0.000 0.000 Se
0.000 0.000 2.483 Br
0.000 0.000 0.000 Ti



5.
PBE-GGA VSbSeBr2, optimized geometry; energy above the lowest structure with this stoichiometry = 0 meV/atom; E = -4.07 eV per atom; density = 5.3 g/cm3
1.0
5.026 0.000 0.000
0.000 5.026 0.000
0.000 0.000 5.081
Sb Se Br V
1 1 2 1
Cartesian
2.513 2.513 2.541 Sb
0.000 0.000 2.541 Se
0.000 2.513 0.000 Br
2.513 0.000 0.000 Br
0.000 0.000 0.000 V



6.
PBE-GGA YSbSeBr2, optimized geometry; energy above the lowest structure with this stoichiometry = 620 meV/atom; E = -3.57 eV per atom; density = 4.4 g/cm3
1.0
-4.008 -3.544 -1.247
3.746 -3.909 -0.931
-0.293 -1.565 5.393
Y Sb Se Br
1 1 1 2
Cartesian
-0.278 -4.509 1.608 Y
0.000 0.000 0.000 Sb
-0.147 -0.783 2.696 Se
1.873 -1.955 -0.466 Br
-2.004 -1.772 -0.623 Br